A plane-wave DFT calculation with PBE with a Hubbard U was carried out for a relaxed Na14Ni2O9 crystal.

The structure in extended XYZ format:
```
25
Lattice="6.651 0.000 0.000 -3.326 5.760 0.000 0.000 0.000 9.353" Properties=species:S:1:pos:R:3 pbc="T T T"
Na 0.000 0.000 2.330
Na 0.000 0.000 7.024
Na -0.982 2.077 0.859
Na -1.857 3.962 3.797
Na 0.823 2.171 3.797
Na -1.037 5.572 0.859
Na 1.308 1.888 8.494
Na 2.291 0.373 5.556
Na 1.034 5.388 3.797
Na 2.018 3.872 0.859
Na 4.362 0.188 8.494
Na 2.503 3.590 5.556
Na 5.183 1.798 5.556
Na 4.307 3.684 8.494
Ni 0.000 3.840 6.899
Ni 3.326 1.920 2.454
O 0.000 0.000 0.000
O -1.919 4.008 6.206
O 0.814 2.094 6.206
O 0.000 3.840 8.943
O 2.220 0.342 3.147
O 1.105 5.418 6.206
O 3.326 1.920 0.410
O 2.512 3.666 3.147
O 5.245 1.752 3.147
```

Electronic total energy ... -3.843 eV/atom